DFT (GGA-PBE) results for CsYVBr6 after structural relaxation.

a b c (Å): 7.068 7.068 8.316
angles (deg): 90.00 90.00 120.00
Sites, in units of the cell vectors:
Cs 0.000 0.000 0.000
Y 0.667 0.333 0.500
V 0.333 0.667 0.500
Br 0.017 0.376 0.689
Br 0.017 0.641 0.311
Br 0.359 0.376 0.311
Br 0.359 0.983 0.689
Br 0.624 0.641 0.689
Br 0.624 0.983 0.311

For the magnetic moment, the calculation gives 3.0 μB per formula unit. The calculation puts the uncorrected formation energy at -1.5195 eV per atom. Its total energy is -4.461 eV/atom. As for the space group: P312, No. 149.